# 1
Compound: Ba2NaIn3Sn4
Source: Alexandria via LeMat-Bulk
Functional: PBE
Structure: optimized geometry

Cell and atoms, written as CIF:
```
data_Ba2NaIn3Sn4
_chemical_formula_sum 'Ba2 Na1 In3 Sn4'
_space_group_name_H-M_alt 'P -4 m 2'
_space_group_IT_number 115
_cell_length_a 5.159
_cell_length_b 5.159
_cell_length_c 12.169
_cell_angle_alpha 90.00
_cell_angle_beta 90.00
_cell_angle_gamma 90.00
loop_
_space_group_symop_operation_xyz
'x,y,z'
'y,-x,-z'
'-x,-y,z'
'-y,x,-z'
'-x,y,z'
'-y,-x,-z'
'x,-y,z'
'y,x,-z'
loop_
_atom_site_label
_atom_site_type_symbol
_atom_site_fract_x
_atom_site_fract_y
_atom_site_fract_z
Ba1 Ba 0.000 0.500 0.244
Na1 Na 0.000 0.000 0.500
In1 In 0.000 0.500 0.871
In2 In 0.500 0.500 0.500
Sn1 Sn 0.000 0.000 0.000
Sn2 Sn 0.000 0.500 0.637
Sn3 Sn 0.500 0.500 0.000
```

**Energy**: -3.294 eV per atom
**DFT formation energy**: -0.355 eV/atom

***

# 2
Compound: Ba2NaSrIn
Source: Alexandria via LeMat-Bulk
Functional: PBE
Structure: optimized geometry

Cell and atoms, written as CIF:
```
data_Ba2NaSrIn
_chemical_formula_sum 'Ba2 Na1 Sr1 In1'
_space_group_name_H-M_alt 'P 4/m m m'
_space_group_IT_number 123
_space_group_name_Hall '-P 4 2'
_cell_length_a 6.798
_cell_length_b 6.798
_cell_length_c 6.536
_cell_angle_alpha 90.00
_cell_angle_beta 90.00
_cell_angle_gamma 90.00
loop_
_atom_site_label
_atom_site_type_symbol
_atom_site_fract_x
_atom_site_fract_y
_atom_site_fract_z
Ba1 Ba 0.000 0.500 0.000
Na1 Na 0.000 0.000 0.500
Sr1 Sr 0.500 0.500 0.500
In1 In 0.500 0.500 0.000
```

**Energy**: -1.942 eV per atom
**DFT formation energy**: -0.025 eV/atom

***

# 3
Compound: BaNaIn2Tc
Source: Alexandria via LeMat-Bulk
Functional: PBE
Structure: optimized geometry

Cell and atoms, written as CIF:
```
data_BaNaIn2Tc
_chemical_formula_sum 'Ba1 Na1 In2 Tc1'
_space_group_name_H-M_alt 'P 4/m m m'
_space_group_IT_number 123
_space_group_name_Hall '-P 4 2'
_cell_length_a 5.448
_cell_length_b 5.448
_cell_length_c 5.342
_cell_angle_alpha 90.00
_cell_angle_beta 90.00
_cell_angle_gamma 90.00
loop_
_atom_site_label
_atom_site_type_symbol
_atom_site_fract_x
_atom_site_fract_y
_atom_site_fract_z
Ba1 Ba 0.000 0.000 0.000
Na1 Na 0.500 0.500 0.500
In1 In 0.000 0.500 0.500
Tc1 Tc 0.500 0.500 0.000
```

**Energy**: -2.968 eV per atom
**DFT formation energy**: 0.849 eV/atom